Entry from Alexandria: an optimized crystal structure of InS2N2 (PBE).

Geometry as CIF:
```
data_InS2N2
_chemical_formula_sum 'In1 S2 N2'
_cell_length_a 3.999
_cell_length_b 3.999
_cell_length_c 4.138
_cell_angle_alpha 90.00
_cell_angle_beta 90.00
_cell_angle_gamma 90.00
_space_group_name_H-M_alt 'P 4/m m m'
_space_group_IT_number 123
_space_group_name_Hall '-P 4 2'
loop_
_atom_site_label
_atom_site_fract_x
_atom_site_fract_y
_atom_site_fract_z
_atom_site_occupancy
In1 0.000 0.000 0.000 1
S1 0.000 0.500 0.500 1
N1 0.500 0.500 0.000 1
N2 0.500 0.500 0.500 1
```

Results
mass density = 5.19 Mg/m³
energy = -20.1 eV per cell
M_tot = 0.17 μB/cell
energy above the lowest structure with this stoichiometry = 1556 meV per atom


Entry from Alexandria: an optimized crystal structure of InSN2 (PBE).

Geometry as CIF:
```
data_InSN2
_chemical_formula_sum 'In1 S1 N2'
_cell_length_a 3.826
_cell_length_b 3.828
_cell_length_c 8.148
_cell_angle_alpha 100.06
_cell_angle_beta 97.56
_cell_angle_gamma 90.00
_space_group_name_H-M_alt 'P 1'
_space_group_IT_number 1
loop_
_space_group_symop_operation_xyz
'x,y,z'
loop_
_atom_site_label
_atom_site_fract_x
_atom_site_fract_y
_atom_site_fract_z
_atom_site_occupancy
In1 0.000 0.000 0.000 1
S1 0.500 0.500 0.000 1
N1 0.030 0.098 0.446 1
N2 0.938 0.990 0.551 1
```

Results
mass density = 2.49 Mg/m³
energy = -23.9 eV per cell
M_tot = 0.00 μB/cell
energy above the lowest structure with this stoichiometry = 0 meV per atom


Entry from Alexandria: an optimized crystal structure of InS2N2 (PBE).

Geometry as CIF:
```
data_InS2N2
_chemical_formula_sum 'In1 S2 N2'
_cell_length_a 3.577
_cell_length_b 3.577
_cell_length_c 6.801
_cell_angle_alpha 90.00
_cell_angle_beta 90.00
_cell_angle_gamma 90.00
_space_group_name_H-M_alt 'P 4/m m m'
_space_group_IT_number 123
_space_group_name_Hall '-P 4 2'
loop_
_atom_site_label
_atom_site_fract_x
_atom_site_fract_y
_atom_site_fract_z
_atom_site_occupancy
In1 0.000 0.000 0.000 1
S1 0.500 0.500 0.000 1
S2 0.500 0.500 0.500 1
N1 0.000 0.500 0.500 1
```

Results
mass density = 3.95 Mg/m³
energy = -21.6 eV per cell
M_tot = 0.00 μB/cell
energy above the lowest structure with this stoichiometry = 1255 meV per atom


Entry from Alexandria: an optimized crystal structure of InSN2 (PBE).

Geometry as CIF:
```
data_InSN2
_chemical_formula_sum 'In3 S3 N6'
_cell_length_a 3.4086
_cell_length_b 3.4086
_cell_length_c 17.3256
_cell_angle_alpha 90.00
_cell_angle_beta 90.00
_cell_angle_gamma 120.00
_space_group_name_H-M_alt 'R -3 m'
_space_group_IT_number 166
_space_group_name_Hall '-R 3 2"'
loop_
_atom_site_label
_atom_site_fract_x
_atom_site_fract_y
_atom_site_fract_z
_atom_site_occupancy
In1 0.0000 0.0000 0.0000 1
S1 0.0000 0.0000 0.5000 1
N1 0.0000 0.0000 0.4022 1
```

Results
mass density = 5.00 Mg/m³
energy = -61.6 eV per cell
M_tot = 0.00 μB/cell
energy above the lowest structure with this stoichiometry = 847 meV per atom


Entry from Alexandria: an optimized crystal structure of InSN2 (PBE).

Geometry as CIF:
```
data_InSN2
_chemical_formula_sum 'In4 S4 N8'
_cell_length_a 4.529
_cell_length_b 4.529
_cell_length_c 11.180
_cell_angle_alpha 90.00
_cell_angle_beta 90.00
_cell_angle_gamma 90.00
_space_group_name_H-M_alt 'I -4 2 d'
_space_group_IT_number 122
_space_group_name_Hall 'I -4 2bw'
loop_
_atom_site_label
_atom_site_fract_x
_atom_site_fract_y
_atom_site_fract_z
_atom_site_occupancy
In1 0.000 0.000 0.000 1
S1 0.000 0.000 0.500 1
N1 0.207 0.250 0.625 1
```

Results
mass density = 5.06 Mg/m³
energy = -77.6 eV per cell
M_tot = 0.00 μB/cell
energy above the lowest structure with this stoichiometry = 1132 meV per atom


Entry from Alexandria: an optimized crystal structure of InSbSN2 (PBE).

Geometry as CIF:
```
data_InSbSN2
_chemical_formula_sum 'In1 Sb1 S1 N2'
_cell_length_a 4.022
_cell_length_b 4.022
_cell_length_c 5.397
_cell_angle_alpha 90.00
_cell_angle_beta 90.00
_cell_angle_gamma 90.00
_space_group_name_H-M_alt 'P 4/m m m'
_space_group_IT_number 123
_space_group_name_Hall '-P 4 2'
loop_
_atom_site_label
_atom_site_fract_x
_atom_site_fract_y
_atom_site_fract_z
_atom_site_occupancy
In1 0.000 0.000 0.000 1
Sb1 0.500 0.500 0.500 1
S1 0.500 0.500 0.000 1
N1 0.000 0.500 0.500 1
```

Results
mass density = 5.64 Mg/m³
energy = -22.9 eV per cell
M_tot = 0.52 μB/cell
energy above the lowest structure with this stoichiometry = 0 meV per atom


Entry from Alexandria: an optimized crystal structure of InSbSN2 (PBE).

Geometry as CIF:
```
data_InSbSN2
_chemical_formula_sum 'In1 Sb1 S1 N2'
_cell_length_a 4.248
_cell_length_b 4.248
_cell_length_c 5.258
_cell_angle_alpha 90.00
_cell_angle_beta 90.00
_cell_angle_gamma 90.00
_space_group_name_H-M_alt 'P 4/m m m'
_space_group_IT_number 123
_space_group_name_Hall '-P 4 2'
loop_
_atom_site_label
_atom_site_fract_x
_atom_site_fract_y
_atom_site_fract_z
_atom_site_occupancy
In1 0.000 0.000 0.000 1
Sb1 0.500 0.500 0.500 1
S1 0.000 0.000 0.500 1
N1 0.000 0.500 0.000 1
```

Results
mass density = 5.19 Mg/m³
energy = -21.0 eV per cell
M_tot = 1.98 μB/cell
energy above the lowest structure with this stoichiometry = 387 meV per atom


Entry from Alexandria: an optimized crystal structure of ScInSN2 (PBE).

Geometry as CIF:
```
data_ScInSN2
_chemical_formula_sum 'Sc1 In1 S1 N2'
_cell_length_a 4.046
_cell_length_b 4.046
_cell_length_c 5.428
_cell_angle_alpha 90.00
_cell_angle_beta 90.00
_cell_angle_gamma 90.00
_space_group_name_H-M_alt 'P 4/m m m'
_space_group_IT_number 123
_space_group_name_Hall '-P 4 2'
loop_
_atom_site_label
_atom_site_fract_x
_atom_site_fract_y
_atom_site_fract_z
_atom_site_occupancy
Sc1 0.000 0.000 0.000 1
In1 0.500 0.500 0.500 1
S1 0.000 0.000 0.500 1
N1 0.000 0.500 0.000 1
```

Results
mass density = 4.11 Mg/m³
energy = -27.9 eV per cell
M_tot = 0.03 μB/cell
energy above the lowest structure with this stoichiometry = 0 meV per atom


Entry from Alexandria: an optimized crystal structure of ScInSN2 (PBE).

Geometry as CIF:
```
data_ScInSN2
_chemical_formula_sum 'Sc1 In1 S1 N2'
_cell_length_a 4.091
_cell_length_b 4.091
_cell_length_c 5.249
_cell_angle_alpha 90.00
_cell_angle_beta 90.00
_cell_angle_gamma 90.00
_space_group_name_H-M_alt 'P 4/m m m'
_space_group_IT_number 123
_space_group_name_Hall '-P 4 2'
loop_
_atom_site_label
_atom_site_fract_x
_atom_site_fract_y
_atom_site_fract_z
_atom_site_occupancy
Sc1 0.000 0.000 0.000 1
In1 0.500 0.500 0.500 1
S1 0.500 0.500 0.000 1
N1 0.000 0.500 0.500 1
```

Results
mass density = 4.15 Mg/m³
energy = -26.3 eV per cell
M_tot = 1.32 μB/cell
energy above the lowest structure with this stoichiometry = 327 meV per atom


Entry from Alexandria: an optimized crystal structure of InSeSN2 (PBE).

Geometry as CIF:
```
data_InSeSN2
_chemical_formula_sum 'In1 Se1 S1 N2'
_cell_length_a 4.202
_cell_length_b 4.202
_cell_length_c 5.998
_cell_angle_alpha 90.00
_cell_angle_beta 90.00
_cell_angle_gamma 90.00
_space_group_name_H-M_alt 'P 4/m m m'
_space_group_IT_number 123
_space_group_name_Hall '-P 4 2'
loop_
_atom_site_label
_atom_site_fract_x
_atom_site_fract_y
_atom_site_fract_z
_atom_site_occupancy
In1 0.000 0.000 0.000 1
Se1 0.000 0.000 0.500 1
S1 0.500 0.500 0.500 1
N1 0.000 0.500 0.000 1
```

Results
mass density = 3.98 Mg/m³
energy = -18.8 eV per cell
M_tot = 4.03 μB/cell
energy above the lowest structure with this stoichiometry = 369 meV per atom


Entry from Alexandria: an optimized crystal structure of InSeSN2 (PBE).

Geometry as CIF:
```
data_InSeSN2
_chemical_formula_sum 'In1 Se1 S1 N2'
_cell_length_a 3.708
_cell_length_b 3.708
_cell_length_c 7.695
_cell_angle_alpha 90.00
_cell_angle_beta 90.00
_cell_angle_gamma 90.00
_space_group_name_H-M_alt 'P 4/m m m'
_space_group_IT_number 123
_space_group_name_Hall '-P 4 2'
loop_
_atom_site_label
_atom_site_fract_x
_atom_site_fract_y
_atom_site_fract_z
_atom_site_occupancy
In1 0.000 0.000 0.000 1
Se1 0.500 0.500 0.000 1
S1 0.500 0.500 0.500 1
N1 0.000 0.500 0.500 1
```

Results
mass density = 3.98 Mg/m³
energy = -20.4 eV per cell
M_tot = 0.00 μB/cell
energy above the lowest structure with this stoichiometry = 44 meV per atom


Entry from Alexandria: an optimized crystal structure of InSeSN2 (PBE).

Geometry as CIF:
```
data_InSeSN2
_chemical_formula_sum 'In1 Se1 S1 N2'
_cell_length_a 4.211
_cell_length_b 4.211
_cell_length_c 5.576
_cell_angle_alpha 90.00
_cell_angle_beta 90.00
_cell_angle_gamma 90.00
_space_group_name_H-M_alt 'P 4/m m m'
_space_group_IT_number 123
_space_group_name_Hall '-P 4 2'
loop_
_atom_site_label
_atom_site_fract_x
_atom_site_fract_y
_atom_site_fract_z
_atom_site_occupancy
In1 0.000 0.000 0.000 1
Se1 0.500 0.500 0.500 1
S1 0.000 0.000 0.500 1
N1 0.000 0.500 0.000 1
```

Results
mass density = 4.26 Mg/m³
energy = -19.0 eV per cell
M_tot = 4.11 μB/cell
energy above the lowest structure with this stoichiometry = 325 meV per atom


Entry from Alexandria: an optimized crystal structure of InSeSN2 (PBE).

Geometry as CIF:
```
data_InSeSN2
_chemical_formula_sum 'In1 Se1 S1 N2'
_cell_length_a 3.833
_cell_length_b 3.833
_cell_length_c 5.567
_cell_angle_alpha 90.00
_cell_angle_beta 90.00
_cell_angle_gamma 90.00
_space_group_name_H-M_alt 'P 4/m m m'
_space_group_IT_number 123
_space_group_name_Hall '-P 4 2'
loop_
_atom_site_label
_atom_site_fract_x
_atom_site_fract_y
_atom_site_fract_z
_atom_site_occupancy
In1 0.000 0.000 0.000 1
Se1 0.500 0.500 0.500 1
S1 0.500 0.500 0.000 1
N1 0.000 0.500 0.500 1
```

Results
mass density = 5.15 Mg/m³
energy = -20.6 eV per cell
M_tot = 0.70 μB/cell
energy above the lowest structure with this stoichiometry = 0 meV per atom


Entry from Alexandria: an optimized crystal structure of InSiS2N (PBE).

Geometry as CIF:
```
data_InSiS2N
_chemical_formula_sum 'In1 Si1 S2 N1'
_cell_length_a 5.093
_cell_length_b 5.093
_cell_length_c 4.150
_cell_angle_alpha 90.00
_cell_angle_beta 90.00
_cell_angle_gamma 90.00
_space_group_name_H-M_alt 'P 4/m m m'
_space_group_IT_number 123
_space_group_name_Hall '-P 4 2'
loop_
_atom_site_label
_atom_site_fract_x
_atom_site_fract_y
_atom_site_fract_z
_atom_site_occupancy
In1 0.000 0.000 0.000 1
Si1 0.500 0.500 0.500 1
S1 0.000 0.500 0.000 1
N1 0.000 0.000 0.500 1
```

Results
mass density = 3.41 Mg/m³
energy = -19.4 eV per cell
M_tot = 2.00 μB/cell
energy above the lowest structure with this stoichiometry = 1006 meV per atom